*A*
! Mg2Cu2B (PBE, relaxed); values from VASP
! Mass density in g/cm3: 3.66
! SG: I4/mmm
&SYSTEM
  ibrav = 0, nat = 5, ntyp = 3
/
ATOMIC_SPECIES
Mg 24.30 Mg.upf
B 10.81 B.upf
Cu 63.55 Cu.upf
ATOMIC_POSITIONS crystal
Mg 0.750 0.250 0.500
Mg 0.250 0.750 0.500
B 0.000 0.000 0.000
Cu 0.402 0.402 0.196
Cu 0.598 0.598 0.804
CELL_PARAMETERS angstrom
-2.569 -2.615 1.112
-0.959 -0.613 -3.657
2.261 -5.723 -1.639

*B*
! Mg2Cu2B (PBE, relaxed); values from VASP
! Mass density in g/cm3: 4.46
! SG: P4/mbm
&SYSTEM
  ibrav = 0, nat = 10, ntyp = 3
/
ATOMIC_SPECIES
Mg 24.30 Mg.upf
B 10.81 B.upf
Cu 63.55 Cu.upf
ATOMIC_POSITIONS crystal
Mg 0.170 0.670 0.500
Mg 0.670 0.830 0.500
Mg 0.830 0.330 0.500
Mg 0.330 0.170 0.500
B 0.000 0.000 0.000
B 0.500 0.500 0.000
Cu 0.338 0.838 0.000
Cu 0.838 0.662 0.000
Cu 0.662 0.162 0.000
Cu 0.162 0.338 0.000
CELL_PARAMETERS angstrom
-1.619 -3.515 -4.194
-3.529 -2.671 3.601
-3.124 2.702 -1.058

Top of the stability list: *B*, leading by 79.4 kJ/mol of atoms.

*A*
! MgCuB3 (PBE, relaxed); values from VASP
! Mass density in g/cm3: 2.60
! SG: Pm-3m
&SYSTEM
  ibrav = 0, nat = 5, ntyp = 3
/
ATOMIC_SPECIES
Mg 24.30 Mg.upf
B 10.81 B.upf
Cu 63.55 Cu.upf
ATOMIC_POSITIONS crystal
Mg 0.000 0.000 0.000
B 0.000 0.500 0.000
B 0.000 0.000 0.500
B 0.500 0.000 0.000
Cu 0.500 0.500 0.500
CELL_PARAMETERS angstrom
-4.176 -0.014 -0.803
0.645 -2.590 -3.310
-0.478 -3.372 2.545

*B*
! MgCuB3 (PBE, relaxed); values from VASP
! Mass density in g/cm3: 3.35
! SG: Pm-3m
&SYSTEM
  ibrav = 0, nat = 5, ntyp = 3
/
ATOMIC_SPECIES
Mg 24.30 Mg.upf
B 10.81 B.upf
Cu 63.55 Cu.upf
ATOMIC_POSITIONS crystal
Mg 0.500 0.500 0.500
B 0.000 0.500 0.000
B 0.000 0.000 0.500
B 0.500 0.000 0.000
Cu 0.000 0.000 0.000
CELL_PARAMETERS angstrom
3.908 0.000 0.000
0.000 3.908 0.000
0.000 0.000 3.908

Top of the stability list: *B*, leading by 102.8 kJ/mol of atoms.

*A*
! Na2MgCuB (PBE, relaxed); values from VASP
! Mass density in g/cm3: 1.60
! SG: P4/mmm
&SYSTEM
  ibrav = 0, nat = 5, ntyp = 4
/
ATOMIC_SPECIES
Na 22.99 Na.upf
Mg 24.30 Mg.upf
B 10.81 B.upf
Cu 63.55 Cu.upf
ATOMIC_POSITIONS crystal
Na 0.000 0.000 0.500
Na 0.500 0.000 0.000
Mg 0.000 0.000 0.000
B 0.500 0.500 0.500
Cu 0.000 0.500 0.000
CELL_PARAMETERS angstrom
5.651 0.000 0.000
0.000 4.706 0.000
0.000 0.000 5.651

*B*
! Na2MgCuB (PBE, relaxed); values from VASP
! Mass density in g/cm3: 2.09
! SG: P4/mmm
&SYSTEM
  ibrav = 0, nat = 5, ntyp = 4
/
ATOMIC_SPECIES
Na 22.99 Na.upf
Mg 24.30 Mg.upf
B 10.81 B.upf
Cu 63.55 Cu.upf
ATOMIC_POSITIONS crystal
Na 0.000 0.000 0.500
Na 0.500 0.000 0.000
Mg 0.500 0.500 0.500
B 0.000 0.500 0.000
Cu 0.000 0.000 0.000
CELL_PARAMETERS angstrom
-1.040 -4.192 -3.341
3.600 0.200 -1.371
1.663 -3.488 3.858

Top of the stability list: *B*, leading by 80.4 kJ/mol of atoms.

*A*
! Mn2Cu2B (PBE, relaxed); values from VASP
! Mass density in g/cm3: 6.83
! SG: P4/mbm
&SYSTEM
  ibrav = 0, nat = 10, ntyp = 3
/
ATOMIC_SPECIES
B 10.81 B.upf
Mn 54.94 Mn.upf
Cu 63.55 Cu.upf
ATOMIC_POSITIONS crystal
B 0.000 0.000 0.000
B 0.500 0.500 0.000
Mn 0.169 0.669 0.500
Mn 0.669 0.831 0.500
Mn 0.831 0.331 0.500
Mn 0.331 0.169 0.500
Cu 0.345 0.845 0.000
Cu 0.845 0.655 0.000
Cu 0.655 0.155 0.000
Cu 0.155 0.345 0.000
CELL_PARAMETERS angstrom
-4.878 2.402 -0.229
-1.958 -4.241 -2.791
-1.055 -1.810 3.489

*B*
! Mn2Cu2B (PBE, relaxed); values from VASP
! Mass density in g/cm3: 6.95
! SG: I4/mmm
&SYSTEM
  ibrav = 0, nat = 5, ntyp = 3
/
ATOMIC_SPECIES
B 10.81 B.upf
Mn 54.94 Mn.upf
Cu 63.55 Cu.upf
ATOMIC_POSITIONS crystal
B 0.000 0.000 0.000
Mn 0.750 0.250 0.500
Mn 0.250 0.750 0.500
Cu 0.411 0.411 0.177
Cu 0.589 0.589 0.823
CELL_PARAMETERS angstrom
3.005 0.000 0.000
0.000 3.005 0.000
1.503 1.503 6.550

Top of the stability list: *A*, leading by 46.9 kJ/mol of atoms.

*A*
! MnCuB3 (PBE, relaxed); values from VASP
! Mass density in g/cm3: 4.70
! SG: Pm-3m
&SYSTEM
  ibrav = 0, nat = 5, ntyp = 3
/
ATOMIC_SPECIES
B 10.81 B.upf
Mn 54.94 Mn.upf
Cu 63.55 Cu.upf
ATOMIC_POSITIONS crystal
B 0.000 0.500 0.000
B 0.000 0.000 0.500
B 0.500 0.000 0.000
Mn 0.000 0.000 0.000
Cu 0.500 0.500 0.500
CELL_PARAMETERS angstrom
3.765 0.000 0.000
0.000 3.765 0.000
0.000 0.000 3.765

*B*
! MnCuB3 (PBE, relaxed); values from VASP
! Mass density in g/cm3: 4.93
! SG: Pm-3m
&SYSTEM
  ibrav = 0, nat = 5, ntyp = 3
/
ATOMIC_SPECIES
B 10.81 B.upf
Mn 54.94 Mn.upf
Cu 63.55 Cu.upf
ATOMIC_POSITIONS crystal
B 0.000 0.500 0.000
B 0.000 0.000 0.500
B 0.500 0.000 0.000
Mn 0.500 0.500 0.500
Cu 0.000 0.000 0.000
CELL_PARAMETERS angstrom
3.705 0.000 0.000
0.000 3.705 0.000
0.000 0.000 3.705

Top of the stability list: *A*, leading by 76.1 kJ/mol of atoms.

*A*
! CuB3Mo (PBE, relaxed); values from VASP
! Mass density in g/cm3: 6.00
! SG: Pm-3m
&SYSTEM
  ibrav = 0, nat = 5, ntyp = 3
/
ATOMIC_SPECIES
Mo 95.94 Mo.upf
B 10.81 B.upf
Cu 63.55 Cu.upf
ATOMIC_POSITIONS crystal
Mo 0.500 0.500 0.500
B 0.000 0.500 0.000
B 0.000 0.000 0.500
B 0.500 0.000 0.000
Cu 0.000 0.000 0.000
CELL_PARAMETERS angstrom
-1.356 3.353 -1.023
-3.290 -0.839 1.612
1.209 1.477 3.238

*B*
! CuB3Mo (PBE, relaxed); values from VASP
! Mass density in g/cm3: 4.57
! SG: Pm-3m
&SYSTEM
  ibrav = 0, nat = 5, ntyp = 3
/
ATOMIC_SPECIES
Mo 95.94 Mo.upf
B 10.81 B.upf
Cu 63.55 Cu.upf
ATOMIC_POSITIONS crystal
Mo 0.000 0.000 0.000
B 0.000 0.500 0.000
B 0.000 0.000 0.500
B 0.500 0.000 0.000
Cu 0.500 0.500 0.500
CELL_PARAMETERS angstrom
4.116 0.000 0.000
0.000 4.116 0.000
0.000 0.000 4.116

Top of the stability list: *B*, leading by 8.1 kJ/mol of atoms.

*A*
! Cu2BN (PBE, relaxed); values from VASP
! Mass density in g/cm3: 5.39
! SG: I-42d
&SYSTEM
  ibrav = 0, nat = 8, ntyp = 3
/
ATOMIC_SPECIES
B 10.81 B.upf
Cu 63.55 Cu.upf
N 14.01 N.upf
ATOMIC_POSITIONS crystal
B 0.500 0.500 0.000
B 0.250 0.750 0.500
Cu 0.657 0.125 0.250
Cu 0.093 0.625 0.250
Cu 0.375 0.343 0.750
Cu 0.875 0.907 0.750
N 0.000 0.000 0.000
N 0.750 0.250 0.500
CELL_PARAMETERS angstrom
-0.568 -3.780 -2.090
2.384 1.483 -3.331
4.984 -2.934 -0.588

*B*
! Cu2BN (PBE, relaxed); values from VASP
! Mass density in g/cm3: 6.94
! SG: Fm-3m
&SYSTEM
  ibrav = 0, nat = 4, ntyp = 3
/
ATOMIC_SPECIES
B 10.81 B.upf
Cu 63.55 Cu.upf
N 14.01 N.upf
ATOMIC_POSITIONS crystal
B 0.000 0.000 0.000
Cu 0.250 0.250 0.250
Cu 0.750 0.750 0.750
N 0.500 0.500 0.500
CELL_PARAMETERS angstrom
0.000 2.629 2.629
2.629 0.000 2.629
2.629 2.629 0.000

Top of the stability list: *A*, leading by 8.9 kJ/mol of atoms.

*A*
! NaCuB2N (PBE, relaxed); values from VASP
! Mass density in g/cm3: 3.69
! SG: P4/mmm
&SYSTEM
  ibrav = 0, nat = 5, ntyp = 4
/
ATOMIC_SPECIES
Na 22.99 Na.upf
B 10.81 B.upf
Cu 63.55 Cu.upf
N 14.01 N.upf
ATOMIC_POSITIONS crystal
Na 0.500 0.500 0.500
B 0.000 0.000 0.500
B 0.500 0.000 0.000
Cu 0.000 0.500 0.000
N 0.000 0.000 0.000
CELL_PARAMETERS angstrom
-0.403 0.236 -3.686
-1.923 -3.490 -0.013
-3.229 1.778 0.466

*B*
! NaCuB2N (PBE, relaxed); values from VASP
! Mass density in g/cm3: 2.14
! SG: P4/mmm
&SYSTEM
  ibrav = 0, nat = 5, ntyp = 4
/
ATOMIC_SPECIES
Na 22.99 Na.upf
B 10.81 B.upf
Cu 63.55 Cu.upf
N 14.01 N.upf
ATOMIC_POSITIONS crystal
Na 0.000 0.000 0.000
B 0.000 0.000 0.500
B 0.500 0.000 0.000
Cu 0.000 0.500 0.000
N 0.500 0.500 0.500
CELL_PARAMETERS angstrom
4.505 0.000 0.000
0.000 4.663 0.000
0.000 0.000 4.505

Top of the stability list: *A*, leading by 172.3 kJ/mol of atoms.

*A*
! CuBSN2 (PBE, relaxed); values from VASP
! Mass density in g/cm3: 3.05
! SG: P4/mmm
&SYSTEM
  ibrav = 0, nat = 5, ntyp = 4
/
ATOMIC_SPECIES
S 32.06 S.upf
B 10.81 B.upf
Cu 63.55 Cu.upf
N 14.01 N.upf
ATOMIC_POSITIONS crystal
S 0.000 0.000 0.500
B 0.000 0.000 0.000
Cu 0.500 0.500 0.500
N 0.000 0.500 0.000
N 0.500 0.000 0.000
CELL_PARAMETERS angstrom
-0.537 -2.546 -1.705
2.430 0.701 -1.812
4.538 -3.998 4.539

*B*
! CuBSN2 (PBE, relaxed); values from VASP
! Mass density in g/cm3: 2.58
! SG: P4/mmm
&SYSTEM
  ibrav = 0, nat = 5, ntyp = 4
/
ATOMIC_SPECIES
S 32.06 S.upf
B 10.81 B.upf
Cu 63.55 Cu.upf
N 14.01 N.upf
ATOMIC_POSITIONS crystal
S 0.000 0.000 0.500
B 0.500 0.500 0.500
Cu 0.000 0.000 0.000
N 0.000 0.500 0.000
N 0.500 0.000 0.000
CELL_PARAMETERS angstrom
3.439 0.000 0.000
0.000 3.439 0.000
0.000 0.000 7.311

Top of the stability list: *A*, leading by 117.1 kJ/mol of atoms.

*A*
! CuBTeN2 (PBE, relaxed); values from VASP
! Mass density in g/cm3: 4.66
! SG: P4/mmm
&SYSTEM
  ibrav = 0, nat = 5, ntyp = 4
/
ATOMIC_SPECIES
B 10.81 B.upf
Te 127.60 Te.upf
Cu 63.55 Cu.upf
N 14.01 N.upf
ATOMIC_POSITIONS crystal
B 0.000 0.000 0.000
Te 0.000 0.000 0.500
Cu 0.500 0.500 0.500
N 0.000 0.500 0.000
N 0.500 0.000 0.000
CELL_PARAMETERS angstrom
3.340 0.000 0.000
0.000 3.340 0.000
0.000 0.000 7.346

*B*
! CuBTeN2 (PBE, relaxed); values from VASP
! Mass density in g/cm3: 4.34
! SG: P4/mmm
&SYSTEM
  ibrav = 0, nat = 5, ntyp = 4
/
ATOMIC_SPECIES
B 10.81 B.upf
Te 127.60 Te.upf
Cu 63.55 Cu.upf
N 14.01 N.upf
ATOMIC_POSITIONS crystal
B 0.500 0.500 0.500
Te 0.000 0.000 0.500
Cu 0.000 0.000 0.000
N 0.000 0.500 0.000
N 0.500 0.000 0.000
CELL_PARAMETERS angstrom
3.581 0.000 0.000
0.000 3.581 0.000
0.000 0.000 6.857

Top of the stability list: *A*, leading by 57.0 kJ/mol of atoms.

*A*
! NaCuB3 (PBE, relaxed); values from VASP
! Mass density in g/cm3: 3.34
! SG: Pm-3m
&SYSTEM
  ibrav = 0, nat = 5, ntyp = 3
/
ATOMIC_SPECIES
Na 22.99 Na.upf
B 10.81 B.upf
Cu 63.55 Cu.upf
ATOMIC_POSITIONS crystal
Na 0.500 0.500 0.500
B 0.000 0.500 0.000
B 0.000 0.000 0.500
B 0.500 0.000 0.000
Cu 0.000 0.000 0.000
CELL_PARAMETERS angstrom
3.897 0.000 0.000
0.000 3.897 0.000
0.000 0.000 3.897

*B*
! NaCuB3 (PBE, relaxed); values from VASP
! Mass density in g/cm3: 2.45
! SG: Pm-3m
&SYSTEM
  ibrav = 0, nat = 5, ntyp = 3
/
ATOMIC_SPECIES
Na 22.99 Na.upf
B 10.81 B.upf
Cu 63.55 Cu.upf
ATOMIC_POSITIONS crystal
Na 0.000 0.000 0.000
B 0.000 0.500 0.000
B 0.000 0.000 0.500
B 0.500 0.000 0.000
Cu 0.500 0.500 0.500
CELL_PARAMETERS angstrom
4.321 0.000 0.000
0.000 4.321 0.000
0.000 0.000 4.321

Top of the stability list: *A*, leading by 148.4 kJ/mol of atoms.

*A*
! NaCu2B2 (PBE, relaxed); values from VASP
! Mass density in g/cm3: 5.43
! SG: P4/mbm
&SYSTEM
  ibrav = 0, nat = 10, ntyp = 3
/
ATOMIC_SPECIES
Na 22.99 Na.upf
B 10.81 B.upf
Cu 63.55 Cu.upf
ATOMIC_POSITIONS crystal
Na 0.000 0.000 0.000
Na 0.500 0.500 0.000
B 0.155 0.655 0.500
B 0.655 0.845 0.500
B 0.845 0.345 0.500
B 0.345 0.155 0.500
Cu 0.362 0.862 0.000
Cu 0.862 0.638 0.000
Cu 0.638 0.138 0.000
Cu 0.138 0.362 0.000
CELL_PARAMETERS angstrom
6.775 0.000 0.000
0.000 6.775 0.000
0.000 0.000 2.288

*B*
! NaCu2B2 (PBE, relaxed); values from VASP
! Mass density in g/cm3: 4.54
! SG: I4/mmm
&SYSTEM
  ibrav = 0, nat = 5, ntyp = 3
/
ATOMIC_SPECIES
Na 22.99 Na.upf
B 10.81 B.upf
Cu 63.55 Cu.upf
ATOMIC_POSITIONS crystal
Na 0.000 0.000 0.000
B 0.750 0.250 0.500
B 0.250 0.750 0.500
Cu 0.344 0.344 0.312
Cu 0.656 0.656 0.688
CELL_PARAMETERS angstrom
3.760 0.000 0.000
0.000 3.760 0.000
1.880 1.880 4.447

Top of the stability list: *B*, leading by 0.9 kJ/mol of atoms.

*A*
! NaCuB2 (PBE, relaxed); values from VASP
! Mass density in g/cm3: 3.70
! SG: I4_1/amd
&SYSTEM
  ibrav = 0, nat = 8, ntyp = 3
/
ATOMIC_SPECIES
Na 22.99 Na.upf
B 10.81 B.upf
Cu 63.55 Cu.upf
ATOMIC_POSITIONS crystal
Na 0.500 0.500 0.000
Na 0.250 0.750 0.500
B 0.875 0.125 0.250
B 0.875 0.625 0.250
B 0.375 0.125 0.750
B 0.875 0.125 0.750
Cu 0.000 0.000 0.000
Cu 0.750 0.250 0.500
CELL_PARAMETERS angstrom
-0.032 -2.096 2.921
-1.581 -2.615 -1.894
5.935 -5.072 -1.362

*B*
! NaCuB2 (PBE, relaxed); values from VASP
! Mass density in g/cm3: 4.27
! SG: Fm-3m
&SYSTEM
  ibrav = 0, nat = 4, ntyp = 3
/
ATOMIC_SPECIES
Na 22.99 Na.upf
B 10.81 B.upf
Cu 63.55 Cu.upf
ATOMIC_POSITIONS crystal
Na 0.000 0.000 0.000
B 0.250 0.250 0.250
B 0.750 0.750 0.750
Cu 0.500 0.500 0.500
CELL_PARAMETERS angstrom
0.000 2.761 2.761
2.761 0.000 2.761
2.761 2.761 0.000

Top of the stability list: *A*, leading by 70.0 kJ/mol of atoms.

*A*
! Nb2CuB2 (PBE, relaxed); values from VASP
! Mass density in g/cm3: 6.65
! SG: I4/mmm
&SYSTEM
  ibrav = 0, nat = 5, ntyp = 3
/
ATOMIC_SPECIES
Nb 92.91 Nb.upf
B 10.81 B.upf
Cu 63.55 Cu.upf
ATOMIC_POSITIONS crystal
Nb 0.750 0.250 0.500
Nb 0.250 0.750 0.500
B 0.409 0.409 0.181
B 0.591 0.591 0.819
Cu 0.000 0.000 0.000
CELL_PARAMETERS angstrom
3.903 0.000 0.000
0.000 3.903 0.000
1.952 1.952 4.441

*B*
! Nb2CuB2 (PBE, relaxed); values from VASP
! Mass density in g/cm3: 7.73
! SG: P4/mbm
&SYSTEM
  ibrav = 0, nat = 10, ntyp = 3
/
ATOMIC_SPECIES
Nb 92.91 Nb.upf
B 10.81 B.upf
Cu 63.55 Cu.upf
ATOMIC_POSITIONS crystal
Nb 0.182 0.682 0.500
Nb 0.682 0.818 0.500
Nb 0.818 0.318 0.500
Nb 0.318 0.182 0.500
B 0.395 0.895 0.000
B 0.895 0.605 0.000
B 0.605 0.105 0.000
B 0.105 0.395 0.000
Cu 0.000 0.000 0.000
Cu 0.500 0.500 0.000
CELL_PARAMETERS angstrom
-2.210 1.877 5.155
2.744 -4.435 2.791
2.674 1.933 0.443

Top of the stability list: *B*, leading by 83.3 kJ/mol of atoms.